(1)
Compound: CsPa2Cu2Se6
Source: the Alexandria database
Functional: PBE
Structure: relaxed

Computed properties:
Its mass density is 5.839 g/cm3.

Cell lengths 7.6052, 7.7648, 7.8178 Å; angles 62.38, 62.42, 60.87 degrees
Last column: nearest neighbours and their distance in Å.
Space group P-1 (No. 2)
Asymmetric unit:
1 Cs 0.0000 0.0000 0.0000 [1 per cell]  6 Se 3.54-3.61
2 Pa 0.3323 0.3350 0.9984 [2 per cell]  6 Se 2.82-2.87
3 Cu 0.4325 0.6712 0.5634 [2 per cell]  3 Se 2.36-2.38
4 Se 0.0841 0.6627 0.7501 [2 per cell]  1 Cu 2.38
5 Se 0.3237 0.5195 0.2482 [2 per cell]  1 Cu 2.37
6 Se 0.4991 0.0752 0.7529 [2 per cell]  1 Cu 2.36

(2)
Compound: ScHgTe2
Source: the Alexandria database
Functional: PBE
Structure: relaxed

Computed properties:
Its mass density is 5.395 g/cm3.

Cell lengths 6.8291, 6.8291, 13.2182 Å; angles 90.00, 90.00, 90.00 degrees
Last column: nearest neighbours and their distance in Å.
Space group I-42d (No. 122)
Asymmetric unit:
1 Sc 0.0000 0.0000 0.0000 [4 per cell]  4 Te 2.81
2 Hg 0.0000 0.0000 0.5000 [4 per cell]  4 Te 3.05
3 Te 0.2203 0.2500 0.1250 [8 per cell]  2 Sc 2.81, 2 Hg 3.05

(3)
Compound: Mg2ScRh
Source: the Alexandria database
Functional: PBE
Structure: relaxed

Computed properties:
Its mass density is 4.112 g/cm3. The formation energy is -0.10 eV/atom.

Cell lengths 3.9162, 3.9162, 20.6956 Å; angles 90.00, 90.00, 90.00 degrees
Last column: nearest neighbours and their distance in Å.
Space group I-42d (No. 122)
Asymmetric unit:
1 Mg 0.2326 0.2500 0.1250 [8 per cell]  4 Mg 2.67-2.87, 2 Rh 2.91, 2 Sc 2.96
2 Sc 0.0000 0.0000 0.5000 [4 per cell]  4 Rh 2.77, 4 Mg 2.96
3 Rh 0.0000 0.0000 0.0000 [4 per cell]  4 Sc 2.77, 4 Mg 2.91

(4)
Compound: Sr2LaI
Source: the Alexandria database
Functional: PBE
Structure: relaxed

Computed properties:
Its energy above the lowest structure with this stoichiometry is 0.3030 eV per atom. Its mass density is 3.986 g/cm3.

Cell lengths 10.1822, 10.1822, 7.0882 Å; angles 90.00, 90.00, 90.00 degrees
Last column: nearest neighbours and their distance in Å.
Space group I-42d (No. 122)
Asymmetric unit:
1 Sr 0.1862 0.2500 0.1250 [8 per cell]  2 I 3.30
2 La 0.0000 0.0000 0.5000 [4 per cell]  2 I 3.54
3 I 0.0000 0.0000 0.0000 [4 per cell]  4 Sr 3.30, 2 La 3.54

(5)
Compound: Zr2ZnF
Source: the Alexandria database
Functional: PBE
Structure: relaxed

Computed properties:
Its energy above the lowest structure with this stoichiometry is 0.1378 eV per atom. Its mass density is 5.326 g/cm3.

Cell lengths 5.0938, 5.0938, 12.8271 Å; angles 90.00, 90.00, 90.00 degrees
Last column: nearest neighbours and their distance in Å.
Space group I-42d (No. 122)
Asymmetric unit:
1 Zr 0.1721 0.2500 0.1250 [8 per cell]  2 F 2.23
2 Zn 0.0000 0.0000 0.5000 [4 per cell]  4 Zr 2.64
3 F 0.0000 0.0000 0.0000 [4 per cell]  4 Zr 2.23

(6)
Compound: PuTe3Pb2
Source: the Alexandria database
Functional: PBE
Structure: relaxed

Computed properties:
Its mass density is 7.654 g/cm3.

Cell lengths 6.4535, 15.6814, 4.4643 Å; angles 90.00, 90.00, 90.00 degrees
Last column: nearest neighbours and their distance in Å.
Space group Cmmm (No. 65)
Asymmetric unit:
1 Pu 0.0000 0.0000 0.0000 [2 per cell]  6 Te 3.16-3.23
2 Te 0.0000 0.1426 0.5000 [4 per cell]  2 Pu 3.16, 3 Pb 3.23-3.25
3 Te 0.0000 0.5000 0.0000 [2 per cell]  2 Pu 3.23, 4 Pb 3.25
4 Pb 0.0000 0.3498 0.5000 [4 per cell]  5 Te 3.23-3.25

(7)
Compound: AlPt2
Source: the Alexandria database
Functional: PBE
Structure: relaxed

Computed properties:
Its mass density is 14.859 g/cm3. The formation energy is -0.78 eV/atom.

Cell lengths 2.9135, 2.9135, 21.9674 Å; angles 90.00, 90.00, 90.00 degrees
Last column: nearest neighbours and their distance in Å.
Space group I4_1/amd (No. 141, origin choice 2)
Asymmetric unit:
1 Al 0.0000 0.2500 0.3750 [4 per cell]  8 Pt 2.57
2 Pt 0.0000 0.2500 0.8048 [8 per cell]  4 Al 2.57, 2 Pt 2.81

(8)
Compound: ZrTc
Source: the Alexandria database
Functional: PBE
Structure: relaxed

Computed properties:
Its mass density is 8.479 g/cm3. The formation energy is 0.19 eV/atom.

Cell lengths 3.0235, 3.0235, 28.0852 Å; angles 90.00, 90.00, 120.00 degrees
Last column: nearest neighbours and their distance in Å.
Space group R-3m (No. 166, hexagonal axes)
Asymmetric unit:
1 Zr 0.0000 0.0000 0.1192 [6 per cell]  3 Tc 2.95, 9 Zr 3.02-3.19
2 Tc 0.0000 0.0000 0.3677 [6 per cell]  3 Tc 2.60

Number 1: calculated total energy -5.431 eV per atom. Number 2: calculated total energy -3.760 eV per atom. Number 3: calculated total energy -4.321 eV per atom. Number 4: calculated total energy -2.633 eV per atom. Number 5: calculated total energy -5.507 eV per atom. Number 6: calculated total energy -5.712 eV per atom. Number 7: calculated total energy -6.060 eV per atom. Number 8: calculated total energy -9.271 eV per atom.